32
Lattice="-6.689 -1.891 5.904 -4.107 -10.430 -0.949 3.006 -7.130 8.166" Properties=species:S:1:pos:R:3 comment="AcInHg14, relaxed, DFT PBE" delta_e_f_kj_per_mol_atoms=-5.7 magmom_total_mub_per_cell=0.0 dos_ef_per_ev_fu=5.75 spacegroup="Imma, No. 74" pbc="T T T"
Ac -2.201 -13.504 7.271
Ac -5.590 -5.946 5.851
In -1.842 -4.510 7.035
In 1.503 -3.565 4.083
Hg -3.378 -7.243 7.942
Hg -4.413 -12.208 5.180
Hg 1.116 -5.764 6.463
Hg -8.907 -13.687 6.659
Hg -2.886 -6.930 1.555
Hg -4.905 -12.521 11.567
Hg -6.912 -8.191 3.635
Hg -0.879 -11.260 9.487
Hg 0.272 -8.081 4.765
Hg -8.064 -11.369 8.357
Hg -1.356 -8.231 9.917
Hg -6.435 -11.220 3.205
Hg -6.172 -9.765 6.369
Hg -3.899 -10.330 8.764
Hg -4.606 -9.645 1.137
Hg 1.225 -8.559 8.092
Hg -1.620 -9.686 6.752
Hg -3.892 -9.121 4.358
Hg -3.185 -9.806 11.984
Hg -9.016 -10.892 5.030
Hg -4.379 -15.812 8.669
Hg -1.096 -2.984 2.408
Hg -6.749 -7.781 8.556
Hg -5.415 -12.906 8.426
Hg -3.412 -3.639 4.453
Hg -6.695 -16.466 10.714
Hg -1.042 -11.670 4.566
Hg -2.376 -6.545 4.696

8
Lattice="4.045 0.000 0.000 0.000 4.045 0.000 0.000 0.000 10.032" Properties=species:S:1:pos:R:3 comment="PrCuSbO, relaxed, DFT PBE" magmom_total_mub_per_cell=0.0 raw_formation_energy_ev_per_atom=-1.581 dos_ef_per_ev_fu=0.65 spacegroup="P4/nmm, No. 129" pbc="T T T"
Pr 2.022 0.000 6.228
Pr 0.000 2.022 3.803
Cu 2.022 2.022 0.000
Cu 0.000 0.000 0.000
Sb 0.000 2.022 8.333
Sb 2.022 0.000 1.698
O 0.000 0.000 5.016
O 2.022 2.022 5.016